Entry 1:
The following is a DFT calculation (PBE) of TiBeSbTe2 after structural relaxation.

Structure (POSCAR):
```
TiBeSbTe2
1.0
5.0870 0.0000 0.0000
0.0000 5.0870 0.0000
0.0000 0.0000 4.6638
Sb Te Be Ti
1 2 1 1
Direct
0.0000 0.0000 0.5000
0.0000 0.5000 0.0000
0.5000 0.0000 0.0000
0.0000 0.0000 0.0000
0.5000 0.5000 0.5000
```

Total magnetic moment, μB/f.u.: 0.1
Excess energy over the best structure of this formula in the dataset, eV/atom: 0.005
N(E_F), states/eV/f.u.: 7.3
Crystal system: tetragonal
Formation energy from raw total energies, eV per atom: 0.555

Entry 2:
The following is a DFT calculation (PBE) of BeTlSbTe2 after structural relaxation.

Structure (POSCAR):
```
BeTlSbTe2
1.0
-1.2805 5.1457 -0.9749
-2.3835 0.3211 4.8254
4.1186 1.3928 1.9417
Sb Tl Te Be
1 1 2 1
Direct
0.0000 0.0000 0.5000
0.5000 0.5000 0.5000
0.0000 0.5000 0.0000
0.5000 0.0000 0.0000
0.0000 0.0000 0.0000
```

Total magnetic moment, μB/f.u.: 0.0
Excess energy over the best structure of this formula in the dataset, eV/atom: 0.000
N(E_F), states/eV/f.u.: 2.5
Crystal system: tetragonal
Formation energy from raw total energies, eV per atom: 0.213